Compound: KTl2Ge
Source: Alexandria
Functional: PBEsol
Structure: relaxed

Values from the calculation:
VASP energy	-2.77	eV per atom
D(E_F)	10.47	states/eV per cell

a = 7.5603 Å, b = 7.5603 Å, c = 7.5603 Å
α = 90.00°, β = 90.00°, γ = 90.00°
With the nearest neighbours (Å) after each atom.
Space group Fm-3m (No. 225)
One atom of each set of equivalent atoms:
K 0.0000 0.0000 0.0000 (multiplicity 4)  8 Tl 3.27
Tl 0.2500 0.2500 0.2500 (multiplicity 8)  4 Ge 3.27, 4 K 3.27
Ge 0.0000 0.0000 0.5000 (multiplicity 4)  8 Tl 3.27